# 1
# YCd2Co2, optimized geometry, DFT PBE
# E_tot ... -4.36 eV per atom
# ΔE to the lowest computed polymorph ... 0.089 eV/atom
# DFT formation energy ... 0.1369 eV/atom
# M_tot ... 1.8 μB/f.u.
data_YCd2Co2
_chemical_formula_sum 'Y2 Cd4 Co4'
_space_group_name_H-M_alt 'P 4/m b m'
_space_group_IT_number 127
_space_group_name_Hall '-P 4 2ab'
_cell_length_a 6.987
_cell_length_b 6.987
_cell_length_c 3.801
_cell_angle_alpha 90.00
_cell_angle_beta 90.00
_cell_angle_gamma 90.00
loop_
_atom_site_label
_atom_site_fract_x
_atom_site_fract_y
_atom_site_fract_z
_atom_site_occupancy
Y1 0.000 0.000 0.000 1
Cd1 0.167 0.333 0.500 1
Co1 0.118 0.618 0.000 1

# 2
# Ti2HF8, optimized geometry, DFT PBE
# E_tot ... -6.05 eV per atom
# M_tot ... 1.0 μB/f.u.
data_Ti2HF8
_chemical_formula_sum 'Ti4 H2 F16'
_space_group_name_H-M_alt 'C 1 2/m 1'
_space_group_IT_number 12
_cell_length_a 9.738
_cell_length_b 6.099
_cell_length_c 4.859
_cell_angle_alpha 90.00
_cell_angle_beta 102.19
_cell_angle_gamma 90.00
loop_
_space_group_symop_operation_xyz
'x,y,z'
'-x,-y,-z'
'-x,y,-z'
'x,-y,z'
'x+1/2,y+1/2,z'
'-x+1/2,-y+1/2,-z'
'-x+1/2,y+1/2,-z'
'x+1/2,-y+1/2,z'
loop_
_atom_site_label
_atom_site_fract_x
_atom_site_fract_y
_atom_site_fract_z
_atom_site_occupancy
Ti1 0.246 0.000 0.489 1
H1 0.000 0.500 0.000 1
F1 0.106 0.500 0.159 1
F2 0.132 0.000 0.154 1
F3 0.148 0.246 0.632 1

# 3
# LaTcTeI2, optimized geometry, DFT PBE
# E_tot ... -4.43 eV per atom
# ΔE to the lowest computed polymorph ... 0.000 eV/atom
# E_form (uncorrected) ... -0.12 eV/atom
# M_tot ... 0.7 μB/f.u.
data_LaTcTeI2
_chemical_formula_sum 'La1 Tc1 Te1 I2'
_space_group_name_H-M_alt 'P 4/m m m'
_space_group_IT_number 123
_space_group_name_Hall '-P 4 2'
_cell_length_a 5.331
_cell_length_b 5.331
_cell_length_c 5.381
_cell_angle_alpha 90.00
_cell_angle_beta 90.00
_cell_angle_gamma 90.00
loop_
_atom_site_label
_atom_site_fract_x
_atom_site_fract_y
_atom_site_fract_z
_atom_site_occupancy
La1 0.000 0.000 0.000 1
Tc1 0.500 0.500 0.500 1
Te1 0.500 0.500 0.000 1
I1 0.000 0.500 0.500 1

# 4
# Sc2In, optimized geometry, DFT PBE
# E_tot ... -5.40 eV per atom
# DFT formation energy ... -0.2709 eV/atom
# M_tot ... 1.6 μB/f.u.
data_Sc2In
_chemical_formula_sum 'Sc4 In2'
_space_group_name_H-M_alt 'I m m m'
_space_group_IT_number 71
_space_group_name_Hall '-I 2 2'
_cell_length_a 3.337
_cell_length_b 4.279
_cell_length_c 9.740
_cell_angle_alpha 90.00
_cell_angle_beta 90.00
_cell_angle_gamma 90.00
loop_
_atom_site_label
_atom_site_fract_x
_atom_site_fract_y
_atom_site_fract_z
_atom_site_occupancy
Sc1 0.000 0.000 0.162 1
In1 0.000 0.000 0.500 1

# 5
# Zr2RhBr, optimized geometry, DFT PBE
# E_tot ... -7.02 eV per atom
# ΔE to the lowest computed polymorph ... 0.112 eV/atom
# E_form (uncorrected) ... -0.49 eV/atom
# M_tot ... 0.0 μB/f.u.
data_Zr2RhBr
_chemical_formula_sum 'Zr2 Rh1 Br1'
_space_group_name_H-M_alt 'P 4/m m m'
_space_group_IT_number 123
_space_group_name_Hall '-P 4 2'
_cell_length_a 3.189
_cell_length_b 3.189
_cell_length_c 7.715
_cell_angle_alpha 90.00
_cell_angle_beta 90.00
_cell_angle_gamma 90.00
loop_
_atom_site_label
_atom_site_fract_x
_atom_site_fract_y
_atom_site_fract_z
_atom_site_occupancy
Zr1 0.000 0.000 0.225 1
Rh1 0.500 0.500 0.000 1
Br1 0.500 0.500 0.500 1

# 6
# PmScOsO6, optimized geometry, DFT PBE
# E_tot ... -8.14 eV per atom
# E_form (uncorrected) ... -2.36 eV/atom
# M_tot ... 2.0 μB/f.u.
data_PmScOsO6
_chemical_formula_sum 'Pm2 Sc2 Os2 O12'
_space_group_name_H-M_alt 'P -3 1 c'
_space_group_IT_number 163
_space_group_name_Hall '-P 3 2c'
_cell_length_a 5.3154
_cell_length_b 5.3154
_cell_length_c 10.0422
_cell_angle_alpha 90.00
_cell_angle_beta 90.00
_cell_angle_gamma 120.00
loop_
_atom_site_label
_atom_site_fract_x
_atom_site_fract_y
_atom_site_fract_z
_atom_site_occupancy
Pm1 0.0000 0.0000 0.0000 1
Sc1 0.3333 0.6667 0.2500 1
Os1 0.3333 0.6667 0.7500 1
O1 0.0241 0.3712 0.6412 1

# 7
# K4ScAs, optimized geometry, DFT PBE
# E_tot ... -1.94 eV per atom
# DFT formation energy ... 0.6255 eV/atom
# M_tot ... 1.7 μB/f.u.
data_K4ScAs
_chemical_formula_sum 'K16 Sc4 As4'
_space_group_name_H-M_alt 'F -4 3 m'
_space_group_IT_number 216
_space_group_name_Hall 'F -4 2 3'
_cell_length_a 9.912
_cell_length_b 9.912
_cell_length_c 9.912
_cell_angle_alpha 90.00
_cell_angle_beta 90.00
_cell_angle_gamma 90.00
loop_
_atom_site_label
_atom_site_fract_x
_atom_site_fract_y
_atom_site_fract_z
_atom_site_occupancy
K1 0.123 0.123 0.377 1
Sc1 0.000 0.000 0.000 1
As1 0.250 0.250 0.750 1

# 8
# Ca2Mg5Zn12, optimized geometry, DFT PBE
# E_tot ... -1.57 eV per atom
# DFT formation energy ... -0.1369 eV/atom
# M_tot ... 0.0 μB/f.u.
data_Ca2Mg5Zn12
_chemical_formula_sum 'Ca6 Mg15 Zn36'
_space_group_name_H-M_alt 'R -3 m'
_space_group_IT_number 166
_space_group_name_Hall '-R 3 2"'
_cell_length_a 9.3739
_cell_length_b 9.3739
_cell_length_c 13.9225
_cell_angle_alpha 90.00
_cell_angle_beta 90.00
_cell_angle_gamma 120.00
loop_
_atom_site_label
_atom_site_fract_x
_atom_site_fract_y
_atom_site_fract_z
_atom_site_occupancy
Ca1 0.0000 0.0000 0.1557 1
Mg1 0.0000 0.0000 0.3993 1
Mg2 0.0000 0.5000 0.0000 1
Zn1 0.0000 0.2959 0.5000 1
Zn2 0.0160 0.5080 0.6506 1

# 9
# Tc2SnSe2, optimized geometry, DFT PBE
# E_tot ... -6.08 eV per atom
# E_form (uncorrected) ... 0.26 eV/atom
# M_tot ... 0.0 μB/f.u.
data_Tc2SnSe2
_chemical_formula_sum 'Tc4 Sn2 Se4'
_space_group_name_H-M_alt 'I 4/m m m'
_space_group_IT_number 139
_space_group_name_Hall '-I 4 2'
_cell_length_a 4.710
_cell_length_b 4.710
_cell_length_c 9.003
_cell_angle_alpha 90.00
_cell_angle_beta 90.00
_cell_angle_gamma 90.00
loop_
_atom_site_label
_atom_site_fract_x
_atom_site_fract_y
_atom_site_fract_z
_atom_site_occupancy
Tc1 0.000 0.000 0.126 1
Sn1 0.000 0.000 0.500 1
Se1 0.000 0.500 0.250 1

# 10
# TbY2Er6Tm3, optimized geometry, DFT PBE
# E_tot ... -4.84 eV per atom
# DFT formation energy ... 0.0250 eV/atom
# M_tot ... 0.0 μB/f.u.
data_TbY2Er6Tm3
_chemical_formula_sum 'Tb2 Y4 Er12 Tm6'
_space_group_name_H-M_alt 'C 1 2/m 1'
_space_group_IT_number 12
_cell_length_a 6.096
_cell_length_b 10.542
_cell_length_c 11.660
_cell_angle_alpha 90.00
_cell_angle_beta 100.00
_cell_angle_gamma 90.00
loop_
_space_group_symop_operation_xyz
'x,y,z'
'-x,-y,-z'
'-x,y,-z'
'x,-y,z'
'x+1/2,y+1/2,z'
'-x+1/2,-y+1/2,-z'
'-x+1/2,y+1/2,-z'
'x+1/2,-y+1/2,z'
loop_
_atom_site_label
_atom_site_fract_x
_atom_site_fract_y
_atom_site_fract_z
_atom_site_occupancy
Tb1 0.000 0.000 0.000 1
Y1 0.000 0.333 0.000 1
Er1 0.248 0.000 0.748 1
Er2 0.249 0.334 0.747 1
Tm1 0.000 0.167 0.500 1
Tm2 0.000 0.500 0.500 1

# 11
# Pr12SmHg6, optimized geometry, DFT PBE
# E_tot ... -3.56 eV per atom
# DFT formation energy ... -0.2017 eV/atom
# M_tot ... 0.0 μB/f.u.
data_Pr12SmHg6
_chemical_formula_sum 'Pr36 Sm3 Hg18'
_space_group_name_H-M_alt 'R -3'
_space_group_IT_number 148
_space_group_name_Hall '-R 3'
_cell_length_a 11.6564
_cell_length_b 11.6564
_cell_length_c 14.9743
_cell_angle_alpha 90.00
_cell_angle_beta 90.00
_cell_angle_gamma 120.00
loop_
_atom_site_label
_atom_site_fract_x
_atom_site_fract_y
_atom_site_fract_z
_atom_site_occupancy
Pr1 0.0564 0.2235 0.4117 1
Pr2 0.0753 0.8832 0.7974 1
Sm1 0.0000 0.0000 0.0000 1
Hg1 0.0340 0.5919 0.7151 1

# 12
# InBrN2, optimized geometry, DFT PBE
# E_tot ... -4.29 eV per atom
# ΔE to the lowest computed polymorph ... 0.000 eV/atom
# E_form (uncorrected) ... 0.98 eV/atom
# M_tot ... 0.3 μB/f.u.
data_InBrN2
_chemical_formula_sum 'In3 Br3 N6'
_space_group_name_H-M_alt 'R -3 m'
_space_group_IT_number 166
_space_group_name_Hall '-R 3 2"'
_cell_length_a 3.4645
_cell_length_b 3.4645
_cell_length_c 18.6541
_cell_angle_alpha 90.00
_cell_angle_beta 90.00
_cell_angle_gamma 120.00
loop_
_atom_site_label
_atom_site_fract_x
_atom_site_fract_y
_atom_site_fract_z
_atom_site_occupancy
In1 0.0000 0.0000 0.0000 1
Br1 0.0000 0.0000 0.5000 1
N1 0.0000 0.0000 0.3926 1